*P*
Material: ReBr3N
Method: DFT, PBE
State: relaxed

Its total magnetization is 0.00 μB per formula unit. For the density, the calculation gives 8.0 g/cm³.

Cell lengths 4.5016, 4.5016, 4.5016 Å; angles 90.00, 90.00, 90.00 degrees
Last column: nearest neighbours and their distance in Å.
Atoms (fractional coordinates):
Re 0.0000 0.0000 0.0000  12 Br 3.18
Br 0.0000 0.5000 0.5000  2 N 2.25
Br 0.5000 0.0000 0.5000  2 N 2.25
Br 0.5000 0.5000 0.0000  2 N 2.25
N 0.5000 0.5000 0.5000  6 Br 2.25

=====

*Q*
Material: ReBr3N
Method: DFT, PBE
State: relaxed

Its total magnetization is 1.00 μB per formula unit. For the density, the calculation gives 4.6 g/cm³.

Cell lengths 7.6873, 7.6873, 12.4064 Å; angles 92.46, 92.46, 118.96 degrees
Last column: nearest neighbours and their distance in Å.
Atoms (fractional coordinates):
Re 0.0199 0.0943 0.1533  2 N 2.08-2.11
Re 0.0943 0.0199 0.6533  2 N 2.08-2.11
Re 0.9057 0.9801 0.3467  2 N 2.08-2.11
Re 0.9801 0.9057 0.8467  2 N 2.08-2.11
Br 0.0104 0.2251 0.5176  2 Re 2.60-2.62
Br 0.1477 0.2806 0.8028  2 Re 2.54-2.62
Br 0.1994 0.4383 0.0980  1 Re 2.46
Br 0.2251 0.0104 0.0176  2 Re 2.60-2.62
Br 0.2806 0.1477 0.3028  2 Re 2.54-2.62
Br 0.4383 0.1994 0.5980  1 Re 2.46
Br 0.5617 0.8006 0.4020  1 Re 2.46
Br 0.7194 0.8523 0.6972  2 Re 2.54-2.62
Br 0.7749 0.9896 0.9824  2 Re 2.60-2.62
Br 0.8006 0.5617 0.9020  1 Re 2.46
Br 0.8523 0.7194 0.1972  2 Re 2.54-2.62
Br 0.9896 0.7749 0.4824  2 Re 2.60-2.62
N 0.0728 0.7727 0.7264  1 N 1.30
N 0.2273 0.9272 0.7736  1 N 1.30
N 0.7727 0.0728 0.2264  1 N 1.30
N 0.9272 0.2273 0.2736  1 N 1.30

=====

*R*
Material: ReBr3N
Method: DFT, PBE
State: relaxed

Its total magnetization is 0.00 μB per formula unit. For the density, the calculation gives 5.9 g/cm³.

Cell lengths 4.9804, 4.9804, 4.9804 Å; angles 90.00, 90.00, 90.00 degrees
Last column: nearest neighbours and their distance in Å.
Atoms (fractional coordinates):
Re 0.0000 0.0000 0.0000  6 Br 2.49
Br 0.0000 0.0000 0.5000  2 Re 2.49
Br 0.0000 0.5000 0.0000  2 Re 2.49
Br 0.5000 0.0000 0.0000  2 Re 2.49
N 0.5000 0.5000 0.5000  12 Br 3.52

=====

The least stable of them is *P*.

=====

*P*
Material: ReTeBrN2
Method: DFT, PBE
State: relaxed

Its total magnetization is 4.24 μB per formula unit. For the density, the calculation gives 6.5 g/cm³.

Cell lengths 3.8995, 3.8995, 7.1358 Å; angles 90.00, 90.00, 90.00 degrees
Last column: nearest neighbours and their distance in Å.
Atoms (fractional coordinates):
Re 0.0000 0.0000 0.0000  4 Te 2.76
Te 0.5000 0.5000 0.0000  4 Re 2.76
Br 0.5000 0.5000 0.5000  4 N 1.95
N 0.0000 0.5000 0.5000  2 Br 1.95
N 0.5000 0.0000 0.5000  2 Br 1.95

=====

*Q*
Material: ReTeBrN2
Method: DFT, PBE
State: relaxed

Its total magnetization is 0.00 μB per formula unit. For the density, the calculation gives 7.8 g/cm³.

Cell lengths 3.9389, 3.9389, 5.7967 Å; angles 90.00, 90.00, 90.00 degrees
Last column: nearest neighbours and their distance in Å.
Atoms (fractional coordinates):
Re 0.0000 0.0000 0.0000  4 N 1.97
Te 0.0000 0.0000 0.5000  4 Br 2.79, 2 Re 2.90
Br 0.5000 0.5000 0.5000  4 Te 2.79
N 0.0000 0.5000 0.0000  2 Re 1.97
N 0.5000 0.0000 0.0000  2 Re 1.97

=====

The least stable of them is *P*.

=====

*P*
Material: Rh2BrN
Method: DFT, PBE
State: relaxed

Its total magnetization is 0.00 μB per formula unit. For the density, the calculation gives 7.2 g/cm³.

Cell lengths 6.4814, 6.4814, 6.4814 Å; angles 133.99, 133.99, 67.10 degrees
Last column: nearest neighbours and their distance in Å.
Atoms (fractional coordinates):
Rh 0.0067 0.6250 0.8817  2 N 1.97
Rh 0.3750 0.2567 0.3817  2 N 1.97
Rh 0.7433 0.1250 0.1183  2 N 1.97
Rh 0.8750 0.9933 0.6183  2 N 1.97
Br 0.2500 0.7500 0.5000  4 Rh 2.63
Br 0.5000 0.5000 0.0000  4 Rh 2.63
N 0.0000 0.0000 0.0000  4 Rh 1.97
N 0.7500 0.2500 0.5000  4 Rh 1.97

=====

*Q*
Material: Rh2BrN
Method: DFT, PBE
State: relaxed

Its total magnetization is 1.02 μB per formula unit. For the density, the calculation gives 9.1 g/cm³.

Cell lengths 4.2539, 4.2539, 4.2539 Å; angles 60.00, 60.00, 60.00 degrees
Last column: nearest neighbours and their distance in Å.
Atoms (fractional coordinates):
Rh 0.2500 0.2500 0.2500  4 Br 2.60, 4 N 2.60
Rh 0.7500 0.7500 0.7500  4 Br 2.60, 4 N 2.60
Br 0.0000 0.0000 0.0000  8 Rh 2.60
N 0.5000 0.5000 0.5000  8 Rh 2.60

=====

The least stable of them is *Q*.

=====

*P*
Material: RhBr3N
Method: DFT, PBE
State: relaxed

Its total magnetization is 2.99 μB per formula unit. For the density, the calculation gives 4.1 g/cm³.

Cell lengths 9.1050, 7.4278, 10.0311 Å; angles 90.00, 122.68, 90.00 degrees
Last column: nearest neighbours and their distance in Å.
Atoms (fractional coordinates):
Rh 0.0018 0.2500 0.0009  6 Br 2.49-2.56
Rh 0.0018 0.2500 0.5009  6 Br 2.49-2.56
Rh 0.9982 0.7500 0.4991  6 Br 2.49-2.56
Rh 0.9982 0.7500 0.9991  6 Br 2.49-2.56
Br 0.0646 0.2397 0.2817  2 Rh 2.55-2.56
Br 0.0646 0.2603 0.7817  2 Rh 2.55-2.56
Br 0.2213 0.5065 0.1100  2 Rh 2.49-2.54
Br 0.2213 0.5064 0.6069  2 Rh 2.49-2.54
Br 0.2213 0.9936 0.1069  2 Rh 2.49-2.54
Br 0.2213 0.9935 0.6100  2 Rh 2.49-2.54
Br 0.7787 0.0065 0.3900  2 Rh 2.49-2.54
Br 0.7787 0.0064 0.8931  2 Rh 2.49-2.54
Br 0.7787 0.4936 0.3931  2 Rh 2.49-2.54
Br 0.7787 0.4935 0.8900  2 Rh 2.49-2.54
Br 0.9354 0.7397 0.2183  2 Rh 2.55-2.56
Br 0.9354 0.7603 0.7183  2 Rh 2.55-2.56
N 0.4719 0.7499 0.4817  8 Br 3.55-3.98, 2 N 3.74
N 0.4719 0.7501 0.9817  8 Br 3.55-3.98, 2 N 3.74
N 0.5281 0.2499 0.0183  8 Br 3.55-3.98, 2 N 3.74
N 0.5281 0.2501 0.5183  8 Br 3.55-3.98, 2 N 3.74

=====

*Q*
Material: RhBr3N
Method: DFT, PBE
State: relaxed

Its total magnetization is 0.00 μB per formula unit. For the density, the calculation gives 4.8 g/cm³.

Cell lengths 4.9919, 4.9919, 4.9919 Å; angles 90.00, 90.00, 90.00 degrees
Last column: nearest neighbours and their distance in Å.
Atoms (fractional coordinates):
Rh 0.0000 0.0000 0.0000  6 Br 2.50
Br 0.0000 0.0000 0.5000  2 Rh 2.50
Br 0.0000 0.5000 0.0000  2 Rh 2.50
Br 0.5000 0.0000 0.0000  2 Rh 2.50
N 0.5000 0.5000 0.5000  12 Br 3.53

=====

The least stable of them is *Q*.